Entry 1:
Material: Pr2InGa3Ag4
Method: DFT, PBE
State: relaxed

Summary:
V: 21.99 A^3/atom
Calculated total energy: -3.62 eV per atom
M_tot: 0.0 Bohr magnetons per cell
Energy of formation: -3.396 eV per formula unit
Density: 7.8 g cm⁻³

Cell and atoms, written as CIF:
```
data_Pr2InGa3Ag4
_chemical_formula_sum 'Pr2 In1 Ga3 Ag4'
_cell_length_a 4.456
_cell_length_b 4.456
_cell_length_c 11.078
_cell_angle_alpha 90.00
_cell_angle_beta 90.00
_cell_angle_gamma 90.00
_symmetry_space_group_name_H-M 'P -4 m 2'
_symmetry_Int_Tables_number 115
_symmetry_space_group_name_Hall 'P -4 -2'
loop_
_atom_site_label
_atom_site_type_symbol
_atom_site_fract_x
_atom_site_fract_y
_atom_site_fract_z
Pr1 Pr 0.000 0.500 0.238
In1 In 0.000 0.000 0.500
Ga1 Ga 0.000 0.500 0.871
Ga2 Ga 0.500 0.500 0.500
Ag1 Ag 0.000 0.000 0.000
Ag2 Ag 0.000 0.500 0.644
Ag3 Ag 0.500 0.500 0.000
```

---

Entry 2:
Material: MgAl2Ga4
Method: DFT, PBE
State: relaxed

Summary:
V: 19.55 A^3/atom
Calculated total energy: -2.97 eV per atom
M_tot: 0.0 Bohr magnetons per cell
Energy of formation: 0.403 eV per formula unit
Density: 4.3 g cm⁻³

Cell and atoms, written as CIF:
```
data_MgAl2Ga4
_chemical_formula_sum 'Mg8 Al16 Ga32'
_cell_length_a 8.326
_cell_length_b 8.326
_cell_length_c 15.791
_cell_angle_alpha 90.00
_cell_angle_beta 90.00
_cell_angle_gamma 90.00
_symmetry_space_group_name_H-M 'I 41/a m d'
_symmetry_Int_Tables_number 141
loop_
_symmetry_equiv_pos_as_xyz
'x,y,z'
'-x,-y,-z'
'-y+1/4,x+3/4,z+1/4'
'y+1/4,-x+3/4,-z+1/4'
'-x+1/2,-y,z+1/2'
'x+1/2,y,-z+1/2'
'y+1/4,-x+1/4,z+3/4'
'-y+1/4,x+1/4,-z+3/4'
'x,-y,-z'
'-x,y,z'
'-y+1/4,-x+1/4,-z+3/4'
'y+1/4,x+1/4,z+3/4'
'-x+1/2,y,-z+1/2'
'x+1/2,-y,z+1/2'
'y+1/4,x+3/4,-z+1/4'
'-y+1/4,-x+3/4,z+1/4'
'x+1/2,y+1/2,z+1/2'
'-x+1/2,-y+1/2,-z+1/2'
'-y+3/4,x+1/4,z+3/4'
'y+3/4,-x+1/4,-z+3/4'
'-x,-y+1/2,z'
'x,y+1/2,-z'
'y+3/4,-x+3/4,z+1/4'
'-y+3/4,x+3/4,-z+1/4'
'x+1/2,-y+1/2,-z+1/2'
'-x+1/2,y+1/2,z+1/2'
'-y+3/4,-x+3/4,-z+1/4'
'y+3/4,x+3/4,z+1/4'
'-x,y+1/2,-z'
'x,-y+1/2,z'
'y+3/4,x+1/4,-z+3/4'
'-y+3/4,-x+1/4,z+3/4'
loop_
_atom_site_label
_atom_site_type_symbol
_atom_site_fract_x
_atom_site_fract_y
_atom_site_fract_z
Mg1 Mg 0.000 0.000 0.000
Al1 Al 0.000 0.014 0.250
Ga1 Ga 0.000 0.000 0.500
Ga2 Ga 0.000 0.250 0.121
Ga3 Ga 0.247 0.003 0.375
```

---

Entry 3:
Material: SrTb2Gd
Method: DFT, PBE
State: relaxed

Summary:
V: 35.61 A^3/atom
Calculated total energy: -6.06 eV per atom
M_tot: 7.8 Bohr magnetons per cell
Energy of formation: 0.800 eV per formula unit
Density: 6.6 g cm⁻³

Cell and atoms, written as CIF:
```
data_SrTb2Gd
_chemical_formula_sum 'Sr1 Tb2 Gd1'
_cell_length_a 5.238
_cell_length_b 5.238
_cell_length_c 5.191
_cell_angle_alpha 90.00
_cell_angle_beta 90.00
_cell_angle_gamma 90.00
_symmetry_space_group_name_H-M 'P 4/m m m'
_symmetry_Int_Tables_number 123
_symmetry_space_group_name_Hall '-P 4 2'
loop_
_atom_site_label
_atom_site_type_symbol
_atom_site_fract_x
_atom_site_fract_y
_atom_site_fract_z
Sr1 Sr 0.000 0.000 0.000
Tb1 Tb 0.000 0.500 0.500
Gd1 Gd 0.500 0.500 0.000
```

---

Entry 4:
Material: CePr8Y5
Method: DFT, PBE
State: relaxed

Summary:
V: 35.37 A^3/atom
Calculated total energy: -5.26 eV per atom
M_tot: 1.8 Bohr magnetons per cell
Energy of formation: 2.805 eV per formula unit
Density: 5.7 g cm⁻³

Cell and atoms, written as CIF:
```
data_CePr8Y5
_chemical_formula_sum 'Ce2 Pr16 Y10'
_cell_length_a 12.426
_cell_length_b 9.763
_cell_length_c 10.162
_cell_angle_alpha 90.00
_cell_angle_beta 126.55
_cell_angle_gamma 90.00
_symmetry_space_group_name_H-M 'C 1 2 1'
_symmetry_Int_Tables_number 5
_symmetry_space_group_name_Hall 'C 2y'
loop_
_atom_site_label
_atom_site_type_symbol
_atom_site_fract_x
_atom_site_fract_y
_atom_site_fract_z
Ce1 Ce 0.000 0.000 0.000
Pr1 Pr 0.070 0.036 0.712
Pr2 Pr 0.154 0.337 0.200
Pr3 Pr 0.175 0.700 0.938
Pr4 Pr 0.245 0.498 0.567
Y1 Y 0.000 0.725 0.500
Y2 Y 0.089 0.399 0.733
Y3 Y 0.157 0.696 0.260
```

---

Entry 5:
Material: SrCaCo4
Method: DFT, PBE
State: relaxed

Summary:
V: 16.62 A^3/atom
Calculated total energy: -5.10 eV per atom
M_tot: 20.8 Bohr magnetons per cell
Energy of formation: 1.479 eV per formula unit
Density: 6.1 g cm⁻³

Cell and atoms, written as CIF:
```
data_SrCaCo4
_chemical_formula_sum 'Sr4 Ca4 Co16'
_cell_length_a 7.361
_cell_length_b 7.361
_cell_length_c 7.361
_cell_angle_alpha 90.00
_cell_angle_beta 90.00
_cell_angle_gamma 90.00
_symmetry_space_group_name_H-M 'F -4 3 m'
_symmetry_Int_Tables_number 216
_symmetry_space_group_name_Hall 'F -4 2 3'
loop_
_atom_site_label
_atom_site_type_symbol
_atom_site_fract_x
_atom_site_fract_y
_atom_site_fract_z
Sr1 Sr 0.000 0.000 0.000
Ca1 Ca 0.250 0.250 0.750
Co1 Co 0.124 0.124 0.376
```

---

Entry 6:
Material: Tb3Pm2Al
Method: DFT, PBE
State: relaxed

Summary:
V: 29.63 A^3/atom
Calculated total energy: -4.60 eV per atom
M_tot: 0.0 Bohr magnetons per cell
Energy of formation: -0.493 eV per formula unit
Density: 7.4 g cm⁻³

Cell and atoms, written as CIF:
```
data_Tb3Pm2Al
_chemical_formula_sum 'Tb6 Pm4 Al2'
_cell_length_a 4.836
_cell_length_b 15.091
_cell_length_c 4.871
_cell_angle_alpha 90.00
_cell_angle_beta 90.00
_cell_angle_gamma 90.00
_symmetry_space_group_name_H-M 'C m m m'
_symmetry_Int_Tables_number 65
_symmetry_space_group_name_Hall '-C 2 2'
loop_
_atom_site_label
_atom_site_type_symbol
_atom_site_fract_x
_atom_site_fract_y
_atom_site_fract_z
Tb1 Tb 0.000 0.000 0.000
Tb2 Tb 0.000 0.339 0.000
Pm1 Pm 0.000 0.159 0.500
Al1 Al 0.000 0.500 0.500
```

---

Entry 7:
Material: PRhS2Br
Method: DFT, PBE
State: relaxed

Summary:
V: 21.53 A^3/atom
Calculated total energy: -2.89 eV per atom
Formation energy (no corrections): 1.648 eV/atom
M_tot: 1.5 Bohr magnetons per cell
Density: 4.3 g cm⁻³

Cell and atoms, written as CIF:
```
data_PRhS2Br
_chemical_formula_sum 'P1 Rh1 S2 Br1'
_cell_length_a 4.695
_cell_length_b 4.695
_cell_length_c 4.883
_cell_angle_alpha 90.00
_cell_angle_beta 90.00
_cell_angle_gamma 90.00
_symmetry_space_group_name_H-M 'P 4/m m m'
_symmetry_Int_Tables_number 123
_symmetry_space_group_name_Hall '-P 4 2'
loop_
_atom_site_label
_atom_site_type_symbol
_atom_site_fract_x
_atom_site_fract_y
_atom_site_fract_z
P1 P 0.000 0.000 0.000
Rh1 Rh 0.500 0.500 0.000
S1 S 0.000 0.500 0.500
Br1 Br 0.000 0.000 0.500
```

---

Entry 8:
Material: AlSeBr
Method: DFT, PBE
State: relaxed

Summary:
V: 33.63 A^3/atom
Calculated total energy: -3.94 eV per atom
Formation energy (no corrections): -0.978 eV/atom
M_tot: 0.0 Bohr magnetons per cell
Density: 3.1 g cm⁻³

Cell and atoms, written as CIF:
```
data_AlSeBr
_chemical_formula_sum 'Al2 Se2 Br2'
_cell_length_a 3.833
_cell_length_b 8.306
_cell_length_c 6.338
_cell_angle_alpha 90.00
_cell_angle_beta 90.00
_cell_angle_gamma 90.00
_symmetry_space_group_name_H-M 'P m n 21'
_symmetry_Int_Tables_number 31
_symmetry_space_group_name_Hall 'P 2ac -2'
loop_
_atom_site_label
_atom_site_type_symbol
_atom_site_fract_x
_atom_site_fract_y
_atom_site_fract_z
Al1 Al 0.000 0.080 0.000
Se1 Se 0.000 0.085 0.391
Br1 Br 0.000 0.342 0.901
```

---

Entry 9:
Material: TmLuIr2
Method: DFT, PBE
State: relaxed

Summary:
V: 19.03 A^3/atom
Calculated total energy: -7.62 eV per atom
M_tot: 0.0 Bohr magnetons per cell
Energy of formation: -3.766 eV per formula unit
Density: 15.9 g cm⁻³

Cell and atoms, written as CIF:
```
data_TmLuIr2
_chemical_formula_sum 'Tm1 Lu1 Ir2'
_cell_length_a 3.278
_cell_length_b 3.278
_cell_length_c 7.085
_cell_angle_alpha 90.00
_cell_angle_beta 90.00
_cell_angle_gamma 90.00
_symmetry_space_group_name_H-M 'P 4/m m m'
_symmetry_Int_Tables_number 123
_symmetry_space_group_name_Hall '-P 4 2'
loop_
_atom_site_label
_atom_site_type_symbol
_atom_site_fract_x
_atom_site_fract_y
_atom_site_fract_z
Tm1 Tm 0.000 0.000 0.000
Lu1 Lu 0.000 0.000 0.500
Ir1 Ir 0.500 0.500 0.253
```

---

Entry 10:
Material: Pa8Ga
Method: DFT, PBE
State: relaxed

Summary:
V: 24.00 A^3/atom
Calculated total energy: -8.84 eV per atom
M_tot: 0.0 Bohr magnetons per cell
Energy of formation: -0.570 eV per formula unit
Density: 14.7 g cm⁻³

Cell and atoms, written as CIF:
```
data_Pa8Ga
_chemical_formula_sum 'Pa16 Ga2'
_cell_length_a 9.751
_cell_length_b 9.751
_cell_length_c 4.543
_cell_angle_alpha 90.00
_cell_angle_beta 90.00
_cell_angle_gamma 90.00
_symmetry_space_group_name_H-M 'I 4/m m m'
_symmetry_Int_Tables_number 139
_symmetry_space_group_name_Hall '-I 4 2'
loop_
_atom_site_label
_atom_site_type_symbol
_atom_site_fract_x
_atom_site_fract_y
_atom_site_fract_z
Pa1 Pa 0.000 0.326 0.000
Pa2 Pa 0.161 0.161 0.500
Ga1 Ga 0.000 0.000 0.000
```